(1)
First-principles (meta-GGA SCAN) data for a PBEsol-optimized structure of LaZn3P3, as listed in Alexandria.

Computed properties:
* formation energy from the elements: -16.40 kcal/mol of atoms

abc: 4.0194 4.0194 19.8431
angles: 90.00 90.00 120.00
Space group P6_3/mmc (No. 194)
Inequivalent atoms, fractional coordinates:
La 0.0000 0.0000 0.0000
Zn 0.3333 0.6667 0.1299
Zn 0.3333 0.6667 0.7500
P 0.3333 0.6667 0.2500
P 0.3333 0.6667 0.5896

(2)
First-principles (meta-GGA SCAN) data for a PBEsol-optimized structure of Cr2SbOs, as listed in Alexandria.

Computed properties:
* ΔE_f (raw): 0.56 eV/atom

abc: 2.8974 2.8974 24.1539
angles: 90.00 90.00 120.00
Space group R3m (No. 160, hexagonal axes)
Inequivalent atoms, fractional coordinates:
Cr 0.0000 0.0000 0.0000
Cr 0.0000 0.0000 0.2659
Sb 0.0000 0.0000 0.5084
Os 0.0000 0.0000 0.7472

no.,magnetization (Bohr magnetons per cell),energy (eV/atom)
1,0.000,-17.12
2,2.875,-35.92